Record 1
## SmTlHgSe3 (PBE-GGA)

Data for a geometry-optimized SmTlHgSe3 structure.

Properties
VASP energy = -3.915 eV/atom
spin magnetization = 0.0005 μB per atom
offset from the most stable computed form = 0.0 meV per atom

a = 7.6335 Å, b = 7.6335 Å, c = 11.0935 Å
α = 90.00°, β = 90.00°, γ = 147.71°
Fractional coordinates of all 12 atoms:
Hg1 0.5402 0.4598 0.2500
Hg2 0.4598 0.5402 0.7500
Se1 0.6358 0.3642 0.0487
Se2 0.9213 0.0787 0.2500
Se3 0.6358 0.3642 0.4513
Se4 0.3642 0.6358 0.5487
Se5 0.0787 0.9213 0.7500
Se6 0.3642 0.6358 0.9513
Sm1 0.0000 0.0000 0.0000
Sm2 0.0000 0.0000 0.5000
Tl1 0.2477 0.7523 0.2500
Tl2 0.7523 0.2477 0.7500

Record 2
## SmTlHgSe3 (PBE-GGA)

Data for a geometry-optimized SmTlHgSe3 structure.

Properties
VASP energy = -3.900 eV/atom
spin magnetization = 0.0009 μB per atom
offset from the most stable computed form = 15.7 meV per atom

a = 8.3006 Å, b = 4.2809 Å, c = 10.5478 Å
α = 90.00°, β = 106.60°, γ = 90.00°
Fractional coordinates of all 12 atoms:
Hg1 0.9165 0.7500 0.3828
Hg2 0.0835 0.2500 0.6172
Se1 0.9409 0.7500 0.1384
Se2 0.4545 0.7500 0.1452
Se3 0.7464 0.2500 0.4407
Se4 0.2536 0.7500 0.5593
Se5 0.5455 0.2500 0.8548
Se6 0.0591 0.2500 0.8616
Sm1 0.6937 0.2500 0.1352
Sm2 0.3063 0.7500 0.8648
Tl1 0.2653 0.2500 0.2828
Tl2 0.7347 0.7500 0.7172

Record 3
## SmTlHgSe3 (PBE-GGA)

Data for a geometry-optimized SmTlHgSe3 structure.

Properties
VASP energy = -3.880 eV/atom
spin magnetization = 0.0005 μB per atom
offset from the most stable computed form = 35.0 meV per atom

a = 4.3954 Å, b = 12.1178 Å, c = 12.7865 Å
α = 90.00°, β = 90.00°, γ = 90.00°
Fractional coordinates of all 24 atoms:
Hg1 0.7500 0.7504 0.1962
Hg2 0.7500 0.2504 0.3038
Hg3 0.2500 0.7496 0.6962
Hg4 0.2500 0.2496 0.8038
Se1 0.7500 0.5837 0.0637
Se2 0.7500 0.9684 0.1632
Se3 0.2500 0.2296 0.1751
Se4 0.2500 0.7296 0.3249
Se5 0.7500 0.4684 0.3368
Se6 0.7500 0.0837 0.4363
Se7 0.2500 0.9163 0.5637
Se8 0.2500 0.5316 0.6632
Se9 0.7500 0.2704 0.6751
Se10 0.7500 0.7704 0.8249
Se11 0.2500 0.0316 0.8368
Se12 0.2500 0.4163 0.9363
Sm1 0.2500 0.4700 0.1783
Sm2 0.2500 0.9700 0.3217
Sm3 0.7500 0.0300 0.6783
Sm4 0.7500 0.5300 0.8217
Tl1 0.7500 0.1675 0.0012
Tl2 0.7500 0.6675 0.4988
Tl3 0.2500 0.3325 0.5012
Tl4 0.2500 0.8325 0.9988

Record 4
## SmTlHgSe3 (PBE-GGA)

Data for a geometry-optimized SmTlHgSe3 structure.

Properties
VASP energy = -3.915 eV/atom
spin magnetization = 0.0006 μB per atom
offset from the most stable computed form = 0.7 meV per atom

a = 11.1554 Å, b = 4.2854 Å, c = 14.3856 Å
α = 90.00°, β = 90.00°, γ = 90.00°
Fractional coordinates of all 24 atoms:
Hg1 0.2589 0.2500 0.2087
Hg2 0.7589 0.2500 0.2913
Hg3 0.2411 0.7500 0.7087
Hg4 0.7411 0.7500 0.7913
Se1 0.0611 0.2500 0.1091
Se2 0.4641 0.2500 0.1170
Se3 0.7598 0.7500 0.1714
Se4 0.2598 0.7500 0.3286
Se5 0.9641 0.2500 0.3830
Se6 0.5611 0.2500 0.3909
Se7 0.4389 0.7500 0.6091
Se8 0.0359 0.7500 0.6170
Se9 0.7402 0.2500 0.6714
Se10 0.2402 0.2500 0.8286
Se11 0.5359 0.7500 0.8830
Se12 0.9389 0.7500 0.8909
Sm1 0.0110 0.7500 0.2455
Sm2 0.5110 0.7500 0.2545
Sm3 0.4890 0.2500 0.7455
Sm4 0.9890 0.2500 0.7545
Tl1 0.2680 0.7500 0.0010
Tl2 0.7680 0.7500 0.4990
Tl3 0.2320 0.2500 0.5010
Tl4 0.7320 0.2500 0.9990

Record 5
## SmTlHgSe3 (PBE-GGA)

Data for a geometry-optimized SmTlHgSe3 structure.

Properties
VASP energy = -3.846 eV/atom
spin magnetization = 0.0007 μB per atom
offset from the most stable computed form = 69.4 meV per atom

a = 8.4282 Å, b = 4.4432 Å, c = 17.3659 Å
α = 90.00°, β = 90.00°, γ = 90.00°
Fractional coordinates of all 24 atoms:
Hg1 0.0705 0.7500 0.1589
Hg2 0.5705 0.7500 0.3411
Hg3 0.4295 0.2500 0.6589
Hg4 0.9295 0.2500 0.8411
Se1 0.3748 0.7500 0.0551
Se2 0.9953 0.2500 0.0746
Se3 0.7235 0.7500 0.2076
Se4 0.2235 0.7500 0.2924
Se5 0.4953 0.2500 0.4254
Se6 0.8748 0.7500 0.4449
Se7 0.1252 0.2500 0.5551
Se8 0.5047 0.7500 0.5746
Se9 0.7765 0.2500 0.7076
Se10 0.2765 0.2500 0.7924
Se11 0.0047 0.7500 0.9254
Se12 0.6252 0.2500 0.9449
Sm1 0.7265 0.7500 0.0401
Sm2 0.2265 0.7500 0.4599
Sm3 0.7735 0.2500 0.5401
Sm4 0.2735 0.2500 0.9599
Tl1 0.4326 0.2500 0.1948
Tl2 0.9326 0.2500 0.3052
Tl3 0.0674 0.7500 0.6948
Tl4 0.5674 0.7500 0.8052

Record 6
## SmTlHgSe3 (PBE-GGA)

Data for a geometry-optimized SmTlHgSe3 structure.

Properties
VASP energy = -3.904 eV/atom
spin magnetization = 0.0006 μB per atom
offset from the most stable computed form = 11.8 meV per atom

a = 14.4966 Å, b = 4.2953 Å, c = 11.4072 Å
α = 90.00°, β = 90.00°, γ = 90.00°
Fractional coordinates of all 24 atoms:
Hg1 0.9793 0.7500 0.1069
Hg2 0.4793 0.7500 0.3931
Hg3 0.5207 0.2500 0.6069
Hg4 0.0207 0.2500 0.8931
Se1 0.5969 0.7500 0.0805
Se2 0.0950 0.2500 0.1242
Se3 0.3447 0.7500 0.2340
Se4 0.8447 0.7500 0.2660
Se5 0.5950 0.2500 0.3758
Se6 0.0969 0.7500 0.4195
Se7 0.9031 0.2500 0.5805
Se8 0.4050 0.7500 0.6242
Se9 0.1553 0.2500 0.7340
Se10 0.6553 0.2500 0.7660
Se11 0.9050 0.7500 0.8758
Se12 0.4031 0.2500 0.9195
Sm1 0.4711 0.2500 0.1555
Sm2 0.9711 0.2500 0.3445
Sm3 0.0289 0.7500 0.6555
Sm4 0.5289 0.7500 0.8445
Tl1 0.7565 0.2500 0.0465
Tl2 0.2565 0.2500 0.4535
Tl3 0.7435 0.7500 0.5465
Tl4 0.2435 0.7500 0.9535

Record 7
## SnHg2Se3 (PBE-GGA)

Data for a geometry-optimized SnHg2Se3 structure.

Properties
VASP energy = -2.564 eV/atom

a = 7.1334 Å, b = 7.1334 Å, c = 10.9330 Å
α = 90.00°, β = 90.00°, γ = 146.89°
Fractional coordinates of all 12 atoms:
Hg1 0.5000 0.5000 0.0000
Hg2 0.0249 0.9751 0.2500
Hg3 0.5000 0.5000 0.5000
Hg4 0.9751 0.0249 0.7500
Se1 0.1492 0.8508 0.0622
Se2 0.3980 0.6020 0.2500
Se3 0.1492 0.8508 0.4378
Se4 0.8508 0.1492 0.5622
Se5 0.6020 0.3980 0.7500
Se6 0.8508 0.1492 0.9378
Sn1 0.7298 0.2702 0.2500
Sn2 0.2702 0.7298 0.7500

Record 8
## TlSnHg3Se4 (PBE-GGA)

Data for a geometry-optimized TlSnHg3Se4 structure.

Properties
VASP energy = -2.501 eV/atom
offset from the most stable computed form = 0.0 meV per atom

a = 7.0684 Å, b = 7.7353 Å, c = 10.6405 Å
α = 90.00°, β = 105.51°, γ = 90.00°
Fractional coordinates of all 18 atoms:
Hg1 0.5259 0.7500 0.1689
Hg2 0.7182 0.0433 0.4661
Hg3 0.7182 0.4567 0.4661
Hg4 0.2818 0.5433 0.5339
Hg5 0.2818 0.9567 0.5339
Hg6 0.4741 0.2500 0.8311
Se1 0.1530 0.7500 0.0895
Se2 0.7822 0.0124 0.2271
Se3 0.7822 0.4876 0.2271
Se4 0.3375 0.2500 0.4098
Se5 0.6625 0.7500 0.5902
Se6 0.2178 0.5124 0.7729
Se7 0.2178 0.9876 0.7729
Se8 0.8470 0.2500 0.9105
Sn1 0.0471 0.7500 0.3074
Sn2 0.9529 0.2500 0.6926
Tl1 0.2767 0.2500 0.1137
Tl2 0.7233 0.7500 0.8863

Record 9
## TlSnHg3Se4 (PBE-GGA)

Data for a geometry-optimized TlSnHg3Se4 structure.

Properties
VASP energy = -2.443 eV/atom
offset from the most stable computed form = 58.0 meV per atom

a = 6.7996 Å, b = 6.7996 Å, c = 6.7996 Å
α = 90.00°, β = 90.00°, γ = 90.00°
Fractional coordinates of all 9 atoms:
Hg1 0.5000 0.5000 0.0000
Hg2 0.5000 0.0000 0.5000
Hg3 0.0000 0.5000 0.5000
Se1 0.2627 0.2627 0.2627
Se2 0.7373 0.7373 0.2627
Se3 0.7373 0.2627 0.7373
Se4 0.2627 0.7373 0.7373
Sn1 0.5000 0.5000 0.5000
Tl1 0.0000 0.0000 0.0000

Record 10
## SrHg2Se3 (PBE-GGA)

Data for a geometry-optimized SrHg2Se3 structure.

Properties
VASP energy = -2.751 eV/atom

a = 4.1814 Å, b = 7.2061 Å, c = 11.2518 Å
α = 90.00°, β = 90.00°, γ = 73.13°
Fractional coordinates of all 12 atoms:
Hg1 0.0000 0.0000 0.0000
Hg2 0.5180 0.9640 0.2500
Hg3 0.0000 0.0000 0.5000
Hg4 0.4820 0.0360 0.7500
Se1 0.6367 0.7266 0.0595
Se2 0.8951 0.2098 0.2500
Se3 0.6367 0.7266 0.4405
Se4 0.3633 0.2735 0.5595
Se5 0.1049 0.7902 0.7500
Se6 0.3633 0.2735 0.9405
Sr1 0.2313 0.5374 0.2500
Sr2 0.7687 0.4626 0.7500

Record 11
## SrZnHgSe3 (PBE-GGA)

Data for a geometry-optimized SrZnHgSe3 structure.

Properties
VASP energy = -3.121 eV/atom
offset from the most stable computed form = 0.0 meV per atom

a = 4.1069 Å, b = 7.0359 Å, c = 11.4257 Å
α = 90.00°, β = 90.00°, γ = 73.03°
Fractional coordinates of all 12 atoms:
Hg1 0.0000 0.0000 0.0000
Hg2 0.0000 0.0000 0.5000
Se1 0.6348 0.7304 0.0736
Se2 0.9168 0.1664 0.2500
Se3 0.6348 0.7304 0.4264
Se4 0.3652 0.2696 0.5736
Se5 0.0832 0.8336 0.7500
Se6 0.3652 0.2696 0.9264
Sr1 0.2419 0.5162 0.2500
Sr2 0.7581 0.4838 0.7500
Zn1 0.5271 0.9457 0.2500
Zn2 0.4729 0.0543 0.7500

Record 12
## SrZnHgSe3 (PBE-GGA)

Data for a geometry-optimized SrZnHgSe3 structure.

Properties
VASP energy = -3.028 eV/atom
offset from the most stable computed form = 92.9 meV per atom

a = 7.2646 Å, b = 7.2646 Å, c = 11.5344 Å
α = 90.00°, β = 90.00°, γ = 32.00°
Fractional coordinates of all 12 atoms:
Hg1 0.4928 0.4928 0.2500
Hg2 0.5072 0.5072 0.7500
Se1 0.3817 0.3817 0.0604
Se2 0.1184 0.1184 0.2500
Se3 0.3817 0.3817 0.4396
Se4 0.6183 0.6183 0.5604
Se5 0.8816 0.8816 0.7500
Se6 0.6183 0.6183 0.9396
Sr1 0.7821 0.7821 0.2500
Sr2 0.2179 0.2179 0.7500
Zn1 0.0000 0.0000 0.0000
Zn2 0.0000 0.0000 0.5000